Entry 1:
Below is crystalline Na10Br4O3 at its relaxed geometry, with properties calculated at the PBE level.

Formation energy from raw total energies: -1.40 eV per atom
Total energy: -3.4411 eV/atom
Size of the total moment: 0.26 μB/f.u.
Calculated volume: 352.8 Å³/cell

Cell: 17.0569 17.0569 17.0569 Å, 164.53 164.53 21.94°
Closest atoms and distances in Å follow each position.
Element x y z (fractional)
1 Na 0.0000 0.5000 0.5000  2 O 2.30
2 Na 0.0691 0.0691 0.0000  2 O 2.31
3 Na 0.1381 0.6381 0.5000  2 O 2.30
4 Na 0.2063 0.2063 0.0000  1 O 2.28
5 Na 0.3619 0.8619 0.5000  2 O 2.30
6 Na 0.5000 0.0000 0.5000  2 O 2.30
7 Na 0.6381 0.1381 0.5000  2 O 2.30
8 Na 0.7937 0.7937 0.0000  1 O 2.28
9 Na 0.8619 0.3619 0.5000  2 O 2.30
10 Na 0.9309 0.9309 0.0000  2 O 2.31
11 Br 0.2945 0.2945 0.0000  9 Na 2.96-3.25
12 Br 0.4312 0.4312 0.0000  12 Na 3.25-3.26
13 Br 0.5688 0.5688 0.0000  12 Na 3.25-3.26
14 Br 0.7055 0.7055 0.0000  9 Na 2.96-3.25
15 O 0.0000 0.0000 0.0000  6 Na 2.30-2.31
16 O 0.1381 0.1381 0.0000  6 Na 2.28-2.31
17 O 0.8619 0.8619 0.0000  6 Na 2.28-2.31

***

Entry 2:
Below is crystalline Sr3Al4Ga2 at its relaxed geometry, with properties calculated at the PBE level.

Total energy: -3.2019 eV/atom
Size of the total moment: 0.00 μB/f.u.
Calculated volume: 478.1 Å³/cell

Cell: 4.5731 4.5731 26.3969 Å, 90.00 90.00 120.00°
Closest atoms and distances in Å follow each position.
Element x y z (fractional)
1 Sr 0.0000 0.0000 0.0000  6 Ga 3.32-3.51, 6 Al 3.42-3.49
2 Sr 0.0000 0.0000 0.1636  6 Ga 3.31-3.50, 6 Al 3.40-3.50
3 Sr 0.0000 0.0000 0.3315  9 Al 3.38-3.49, 3 Ga 3.49
4 Sr 0.0000 0.0000 0.4972  3 Ga 3.37, 9 Al 3.42-3.48
5 Sr 0.0000 0.0000 0.6652  9 Al 3.39-3.48, 3 Ga 3.49
6 Sr 0.0000 0.0000 0.8313  3 Ga 3.38, 9 Al 3.42-3.48
7 Al 0.3333 0.6667 0.2507  3 Al 2.64
8 Al 0.3333 0.6667 0.4117  3 Ga 2.65
9 Al 0.3333 0.6667 0.5831  3 Al 2.64
10 Al 0.3333 0.6667 0.7458  3 Ga 2.64
11 Al 0.3333 0.6667 0.9175  3 Al 2.64
12 Al 0.6667 0.3333 0.2450  3 Al 2.64
13 Al 0.6667 0.3333 0.5794  3 Al 2.64
14 Al 0.6667 0.3333 0.9136  3 Al 2.64
15 Ga 0.3333 0.6667 0.0766  3 Ga 2.66
16 Ga 0.6667 0.3333 0.0877  3 Ga 2.66
17 Ga 0.6667 0.3333 0.4181  3 Al 2.65
18 Ga 0.6667 0.3333 0.7515  3 Al 2.64

***

Entry 3:
Below is crystalline FeSb2Ir at its relaxed geometry, with properties calculated at the PBE level.

Formation energy from raw total energies: 0.24 eV per atom
Total energy: -6.1515 eV/atom
Size of the total moment: 2.52 μB/f.u.
Calculated volume: 156.0 Å³/cell
Relative energy among the computed polymorphs: 344.2 meV/atom

Cell: 3.4228 3.8211 11.9259 Å, 90.00 90.00 90.00°
Closest atoms and distances in Å follow each position.
Element x y z (fractional)
1 Fe 0.0000 0.0000 0.0000  6 Sb 2.65-2.81
2 Fe 0.5000 0.5000 0.5000  6 Sb 2.65-2.81
3 Sb 0.0000 0.0000 0.4035  2 Ir 2.74, 4 Fe 2.81
4 Sb 0.0000 0.5000 0.1545  2 Fe 2.65, 4 Ir 2.70
5 Sb 0.5000 0.0000 0.6545  2 Fe 2.65, 4 Ir 2.70
6 Sb 0.5000 0.5000 0.9035  2 Ir 2.74, 4 Fe 2.81
7 Ir 0.0000 0.5000 0.7241  6 Sb 2.70-2.74
8 Ir 0.5000 0.0000 0.2241  6 Sb 2.70-2.74

***

Entry 4:
Below is crystalline ZrNi at its relaxed geometry, with properties calculated at the PBE level.

Total energy: -7.2548 eV/atom
Size of the total moment: 0.00 μB/f.u.
Calculated volume: 144.6 Å³/cell

Cell: 4.0162 4.0162 10.3506 Å, 90.00 90.00 120.00°
Closest atoms and distances in Å follow each position.
Element x y z (fractional)
1 Zr 0.3333 0.6667 0.1066  6 Ni 2.75, 1 Zr 2.97
2 Zr 0.3333 0.6667 0.3934  6 Ni 2.75, 1 Zr 2.97
3 Zr 0.6667 0.3333 0.6066  6 Ni 2.75, 1 Zr 2.97
4 Zr 0.6667 0.3333 0.8934  6 Ni 2.75, 1 Zr 2.97
5 Ni 0.0000 0.0000 0.2500  3 Ni 2.32
6 Ni 0.0000 0.0000 0.7500  3 Ni 2.32
7 Ni 0.3333 0.6667 0.7500  3 Ni 2.32
8 Ni 0.6667 0.3333 0.2500  3 Ni 2.32